Entry 1:
Material: AcPrTePt
Method: DFT, PBE
State: optimized geometry

Unit cell a=4.3950 b=4.3950 c=23.6350 alpha=90.00 beta=90.00 gamma=120.00
With the nearest neighbours (Å) after each atom.
Space group R3m (No. 160, hexagonal axes)
Inequivalent atoms, fractional coordinates:
Ac (0.0000, 0.0000, 0.0000) x3  3 Pt 3.07
Pr (0.0000, 0.0000, 0.8063) x3  3 Pt 2.99, 3 Te 3.34
Te (0.0000, 0.0000, 0.5651) x3  3 Pr 3.34, 3 Ac 3.49
Pt (0.0000, 0.0000, 0.4061) x3  3 Pr 2.99, 3 Ac 3.07

Summary:
- Density of states at the Fermi level: 3.1 states/eV/cell
- E_form (uncorrected): -1279 meV per atom


Entry 2:
Material: Ac2Pr2ThPt4
Method: DFT, PBE
State: optimized geometry

Unit cell a=18.4109 b=4.2084 c=6.6187 alpha=90.00 beta=98.35 gamma=90.00
With the nearest neighbours (Å) after each atom.
Space group C2/m (No. 12)
Inequivalent atoms, fractional coordinates:
Ac (0.1177, 0.0000, 0.0674) x4  5 Pt 3.08-3.27
Pr (0.1749, 0.5000, 0.5980) x4  3 Pt 2.92-3.20
Th (0.0000, 0.0000, 0.5000) x2  4 Pt 2.86
Pt (0.0212, 0.5000, 0.7952) x4  2 Th 2.86, 1 Pt 2.93, 2 Ac 3.15
Pt (0.2391, 0.5000, 0.1735) x4  3 Pr 2.92-3.20, 2 Ac 3.08, 2 Pt 3.18

Summary:
- Density of states at the Fermi level: 16.2 states/eV/cell
- Energy of formation: -0.9930 eV per atom


Entry 3:
Material: Ac3PrTh2Pt6
Method: DFT, PBE
State: optimized geometry

Unit cell a=7.4463 b=12.8765 c=7.4558 alpha=90.00 beta=109.38 gamma=90.00
With the nearest neighbours (Å) after each atom.
Space group C2/m (No. 12)
Inequivalent atoms, fractional coordinates:
Ac (0.0000, 0.0000, 0.0000) x2  6 Pt 3.07-3.14
Ac (0.0000, 0.3336, 0.0000) x4  6 Pt 3.07-3.14
Pr (0.0000, 0.5000, 0.5000) x2  6 Pt 3.02
Th (0.0000, 0.1667, 0.5000) x4  6 Pt 2.95
Pt (0.2364, 0.0000, 0.7322) x4  2 Th 2.95, 1 Pr 3.02, 3 Ac 3.07-3.14
Pt (0.2480, 0.3294, 0.7321) x8  2 Th 2.95, 1 Pr 3.02, 3 Ac 3.07-3.14

Summary:
- Density of states at the Fermi level: 11.2 states/eV/cell
- Energy of formation: -1.1782 eV per atom


Entry 4:
Material: AcPrTlPt
Method: DFT, PBE
State: optimized geometry

Unit cell a=7.7543 b=7.7543 c=7.7543 alpha=90.00 beta=90.00 gamma=90.00
With the nearest neighbours (Å) after each atom.
Space group F-43m (No. 216)
Inequivalent atoms, fractional coordinates:
Ac (0.0000, 0.0000, 0.0000) x4  4 Tl 3.36, 4 Pt 3.36
Pr (0.0000, 0.0000, 0.5000) x4  4 Tl 3.36, 4 Pt 3.36
Tl (0.2500, 0.2500, 0.2500) x4  4 Ac 3.36, 4 Pr 3.36
Pt (0.2500, 0.2500, 0.7500) x4  4 Ac 3.36, 4 Pr 3.36

Summary:
- Density of states at the Fermi level: 13.7 states/eV/cell
- Energy of formation: -0.5620 eV per atom


Entry 5:
Material: AcPrPu
Method: DFT, PBE
State: optimized geometry

Unit cell a=3.7305 b=3.7305 c=15.5719 alpha=90.00 beta=90.00 gamma=90.00
With the nearest neighbours (Å) after each atom.
Space group I4mm (No. 107)
Inequivalent atoms, fractional coordinates:
Ac (0.0000, 0.0000, 0.0000) x2  4 Pu 3.70, 4 Ac 3.73, 4 Pr 3.83
Pr (0.0000, 0.0000, 0.3220) x2  4 Pu 3.58, 4 Pr 3.73, 4 Ac 3.83
Pu (0.0000, 0.0000, 0.6667) x2  4 Pr 3.58, 4 Ac 3.70, 4 Pu 3.73

Summary:
- Energy relative to the lowest polymorph listed for this composition: 0.0 meV per atom
- Density of states at the Fermi level: 15.1 states/eV/cell
- Energy of formation: 0.1693 eV per atom


Entry 6:
Material: AcPrPu
Method: DFT, PBE
State: optimized geometry

Unit cell a=3.6378 b=6.6786 c=8.6563 alpha=104.04 beta=102.12 gamma=90.09
With the nearest neighbours (Å) after each atom.
Space group P-1 (No. 2)
Inequivalent atoms, fractional coordinates:
Ac (0.1457, 0.3554, 0.2883) x2  4 Pu 3.47-3.77, 2 Ac 3.64
Pr (0.4295, 0.1993, 0.8680) x2  3 Pu 3.29-3.50, 2 Pr 3.64
Pu (0.2336, 0.8926, 0.4678) x2  2 Pu 2.30

Summary:
- Energy relative to the lowest polymorph listed for this composition: 92.5 meV per atom
- Density of states at the Fermi level: 12.1 states/eV/cell
- Energy of formation: 0.2618 eV per atom


Entry 7:
Material: Ac2PrPu
Method: DFT, PBE
State: optimized geometry

Unit cell a=3.7359 b=3.7359 c=39.4333 alpha=90.00 beta=90.00 gamma=120.00
With the nearest neighbours (Å) after each atom.
Space group R-3m (No. 166, hexagonal axes)
Inequivalent atoms, fractional coordinates:
Ac (0.0000, 0.0000, 0.0873) x6  1 Pu 3.44, 6 Ac 3.74, 3 Pr 3.80
Pr (0.0000, 0.0000, 0.5000) x3  6 Pr 3.74, 6 Ac 3.80
Pu (0.0000, 0.0000, 0.0000) x3  2 Ac 3.44, 6 Pu 3.74

Summary:
- Energy relative to the lowest polymorph listed for this composition: 184.3 meV per atom
- Density of states at the Fermi level: 39.3 states/eV/cell
- Energy of formation: 0.3376 eV per atom


Entry 8:
Material: AcPr2Pu
Method: DFT, PBE
State: optimized geometry

Unit cell a=3.6413 b=3.6413 c=38.4976 alpha=90.00 beta=90.00 gamma=120.00
With the nearest neighbours (Å) after each atom.
Space group R-3m (No. 166, hexagonal axes)
Inequivalent atoms, fractional coordinates:
Ac (0.0000, 0.0000, 0.0000) x3  2 Pr 3.61, 6 Ac 3.64
Pr (0.0000, 0.0000, 0.0939) x6  3 Pu 3.50, 1 Ac 3.61, 6 Pr 3.64
Pu (0.0000, 0.0000, 0.5000) x3  6 Pr 3.50, 6 Pu 3.64

Summary:
- Energy relative to the lowest polymorph listed for this composition: 132.1 meV per atom
- Density of states at the Fermi level: 35.9 states/eV/cell
- Energy of formation: 0.2737 eV per atom


Entry 9:
Material: AcPr14Pu
Method: DFT, PBE
State: optimized geometry

Unit cell a=10.4800 b=10.5063 c=10.5055 alpha=90.00 beta=90.00 gamma=90.00
With the nearest neighbours (Å) after each atom.
Space group Amm2 (No. 38)
Inequivalent atoms, fractional coordinates:
Ac (0.0000, 0.0000, 0.0000) x2  12 Pr 3.71-3.74
Pr (0.0000, 0.2502, 0.2502) x4  8 Pr 3.70, 2 Pu 3.71-3.72, 2 Ac 3.71-3.72
Pr (0.2484, 0.0000, 0.2549) x4  10 Pr 3.65-3.78, 1 Pu 3.67, 1 Ac 3.73
Pr (0.2492, 0.0000, 0.7457) x4  10 Pr 3.65-3.78, 1 Pu 3.67, 1 Ac 3.74
Pr (0.2489, 0.2456, 0.5003) x8  10 Pr 3.65-3.78, 1 Pu 3.67, 1 Ac 3.73
Pr (0.5000, 0.0000, 0.0005) x2  12 Pr 3.71-3.75
Pr (0.5000, 0.0000, 0.5001) x2  12 Pr 3.68-3.72
Pr (0.5000, 0.2498, 0.2503) x4  12 Pr 3.71-3.72
Pu (0.0000, 0.0000, 0.5005) x2  12 Pr 3.67-3.72

Summary:
- Density of states at the Fermi level: 63.5 states/eV/cell
- Energy of formation: 0.0463 eV per atom


Entry 10:
Material: AcPr2Pu
Method: DFT, PBE
State: optimized geometry

Unit cell a=8.3712 b=8.3712 c=8.3712 alpha=90.00 beta=90.00 gamma=90.00
With the nearest neighbours (Å) after each atom.
Space group Fm-3m (No. 225)
Inequivalent atoms, fractional coordinates:
Ac (0.0000, 0.0000, 0.0000) x4  8 Pr 3.62
Pr (0.2500, 0.2500, 0.2500) x8  4 Ac 3.62, 4 Pu 3.62
Pu (0.0000, 0.0000, 0.5000) x4  8 Pr 3.62

Summary:
- Energy relative to the lowest polymorph listed for this composition: 128.0 meV per atom
- Density of states at the Fermi level: 68.2 states/eV/cell
- Energy of formation: 0.2696 eV per atom


Entry 11:
Material: Ac2PrPu
Method: DFT, PBE
State: optimized geometry

Unit cell a=3.8253 b=3.8253 c=36.5831 alpha=90.00 beta=90.00 gamma=120.00
With the nearest neighbours (Å) after each atom.
Space group R3m (No. 160, hexagonal axes)
Inequivalent atoms, fractional coordinates:
Ac (0.0000, 0.0000, 0.0000) x3  3 Pu 3.68, 3 Pr 3.82, 6 Ac 3.83
Ac (0.0000, 0.0000, 0.1715) x3  3 Pu 3.70, 6 Ac 3.83, 3 Pr 3.85
Pr (0.0000, 0.0000, 0.4184) x3  6 Ac 3.82-3.85, 6 Pr 3.83
Pu (0.0000, 0.0000, 0.5861) x3  6 Ac 3.68-3.70, 6 Pu 3.83

Summary:
- Energy relative to the lowest polymorph listed for this composition: 20.0 meV per atom
- Density of states at the Fermi level: 37.5 states/eV/cell
- Energy of formation: 0.1733 eV per atom


Entry 12:
Material: AcPr2Pu
Method: DFT, PBE
State: optimized geometry

Unit cell a=5.2029 b=5.2029 c=5.2842 alpha=90.00 beta=90.00 gamma=90.00
With the nearest neighbours (Å) after each atom.
Space group P4/mmm (No. 123)
Inequivalent atoms, fractional coordinates:
Ac (0.0000, 0.0000, 0.0000) x1  4 Pu 3.68, 8 Pr 3.71
Pr (0.0000, 0.5000, 0.5000) x2  4 Pr 3.68, 4 Ac 3.71, 4 Pu 3.71
Pu (0.5000, 0.5000, 0.0000) x1  4 Ac 3.68, 8 Pr 3.71

Summary:
- Energy relative to the lowest polymorph listed for this composition: 33.4 meV per atom
- Density of states at the Fermi level: 16.6 states/eV/cell
- Energy of formation: 0.1749 eV per atom